# LaTb6Dy2Er3 (PBE, relaxed)
# Calculated total energy in eV/cell: -110.71
# DFT formation energy in eV per atom: 0.02
data_LaTb6Dy2Er3
_chemical_formula_sum 'La2 Tb12 Dy4 Er6'
_space_group_name_H-M_alt 'C 1 2/m 1'
_space_group_IT_number 12
_cell_length_a 6.1682
_cell_length_b 10.6782
_cell_length_c 11.8084
_cell_angle_alpha 90.00
_cell_angle_beta 99.98
_cell_angle_gamma 90.00
loop_
_space_group_symop_operation_xyz
'x,y,z'
'-x,-y,-z'
'-x,y,-z'
'x,-y,z'
'x+1/2,y+1/2,z'
'-x+1/2,-y+1/2,-z'
'-x+1/2,y+1/2,-z'
'x+1/2,-y+1/2,z'
loop_
_atom_site_label
_atom_site_type_symbol
_atom_site_fract_x
_atom_site_fract_y
_atom_site_fract_z
La1 La 0.0000 0.0000 0.0000
Tb1 Tb 0.2475 0.3327 0.7464
Tb2 Tb 0.2494 0.0000 0.7463
Dy1 Dy 0.0000 0.3334 0.0000
Er1 Er 0.0000 0.1671 0.5000
Er2 Er 0.0000 0.5000 0.5000